Density functional theory data (GGA-PBEsol) for an optimized crystal structure of LiTl2Pb.

Computed properties:
Theoretical density ... 9.82 g/cm³
Formation energy ... -0.07 eV/atom
Energy above the most stable polymorph in this dataset ... 45 meV per atom
Energy ... -2.88 eV per atom
Volume ... 105.3 Å³/f.u.
Crystal system ... cubic
D(E_F) ... 2.0 states/eV/f.u.

a = 7.496 Å, b = 7.496 Å, c = 7.496 Å
α = 90.00°, β = 90.00°, γ = 90.00°
Positions (direct):
Li: 0.000 0.000 0.000
Li: 0.000 0.500 0.500
Li: 0.500 0.000 0.500
Li: 0.500 0.500 0.000
Tl: 0.000 0.000 0.500
Tl: 0.000 0.500 0.000
Tl: 0.250 0.250 0.250
Tl: 0.250 0.750 0.750
Tl: 0.500 0.000 0.000
Tl: 0.500 0.500 0.500
Tl: 0.750 0.250 0.750
Tl: 0.750 0.750 0.250
Pb: 0.250 0.250 0.750
Pb: 0.250 0.750 0.250
Pb: 0.750 0.250 0.250
Pb: 0.750 0.750 0.750